Record 1
VASP calculation (GGA-PBE) on an optimized crystal structure of Hf3BePb. Values from VASP.

Geometry as Quantum ESPRESSO input:
```
&SYSTEM
  ibrav = 0, nat = 10, ntyp = 3
/
ATOMIC_SPECIES
Hf 178.49 Hf.upf
Be 9.01 Be.upf
Pb 207.20 Pb.upf
ATOMIC_POSITIONS angstrom
Hf -0.788 0.831 2.200
Hf 1.877 2.494 1.341
Hf -0.083 0.831 6.766
Hf 5.007 2.494 0.938
Hf 3.046 0.831 6.363
Hf 5.712 2.494 5.504
Be -2.600 0.831 7.503
Be 7.523 2.494 0.201
Pb 0.759 2.494 4.341
Pb 4.165 0.831 3.363
CELL_PARAMETERS angstrom
8.138 0.000 0.000
0.000 3.325 0.000
-3.215 0.000 7.704
```

Values from the calculation:
Its space group is P2_1/m (11). The calculated formation energy is -8 meV per atom. The value obtained for the total energy is -7.467 eV/atom. For the energy above the lowest structure with this stoichiometry, the calculation gives 0.000 eV per atom. Its calculated density is 11.97 Mg/m³.

=====

Record 2
VASP calculation (GGA-PBE) on an optimized crystal structure of Hf2BeRePb. Values from VASP.

Geometry as Quantum ESPRESSO input:
```
&SYSTEM
  ibrav = 0, nat = 5, ntyp = 4
/
ATOMIC_SPECIES
Hf 178.49 Hf.upf
Be 9.01 Be.upf
Re 186.21 Re.upf
Pb 207.20 Pb.upf
ATOMIC_POSITIONS angstrom
Hf 0.000 2.538 0.000
Hf 2.538 0.000 0.000
Be 0.000 0.000 2.210
Re 0.000 0.000 0.000
Pb 2.538 2.538 2.210
CELL_PARAMETERS angstrom
5.076 0.000 0.000
0.000 5.076 0.000
0.000 0.000 4.420
```

Values from the calculation:
Its space group is P4/mmm (123). The calculated formation energy is 614 meV per atom. The value obtained for the total energy is -7.344 eV/atom. Its calculated density is 11.07 Mg/m³.

=====

Record 3
VASP calculation (GGA-PBE) on an optimized crystal structure of HfBeSbPb2. Values from VASP.

Geometry as Quantum ESPRESSO input:
```
&SYSTEM
  ibrav = 0, nat = 5, ntyp = 4
/
ATOMIC_SPECIES
Hf 178.49 Hf.upf
Be 9.01 Be.upf
Sb 121.76 Sb.upf
Pb 207.20 Pb.upf
ATOMIC_POSITIONS angstrom
Hf 0.000 0.000 0.000
Be 2.932 2.932 0.000
Sb 0.000 0.000 2.682
Pb 0.000 2.932 2.682
Pb 2.932 0.000 2.682
CELL_PARAMETERS angstrom
5.864 0.000 0.000
0.000 5.864 0.000
0.000 0.000 5.365
```

Values from the calculation:
Its space group is P4/mmm (123). The value obtained for the total energy is -3.701 eV/atom. For the formation energy (no corrections), the calculation gives 1.343 eV/atom. Its calculated density is 6.51 Mg/m³.

=====

Question: Which of these has the highest calculated density?
Answer: Hf3BePb